Na2Li2Au: PBEsol geometry, SCAN.

Geometry as extended XYZ:
```
10
Lattice="6.686 0.000 0.000 0.000 6.686 0.000 0.000 0.000 5.016" Properties=species:S:1:pos:R:3 pbc="T T T"
Na 1.248 2.095 0.000
Na 2.095 5.437 0.000
Na 4.591 1.248 0.000
Na 5.437 4.591 0.000
Li 1.001 4.344 2.508
Li 2.342 1.001 2.508
Li 4.344 5.685 2.508
Li 5.685 2.342 2.508
Au 0.000 0.000 2.508
Au 3.343 3.343 2.508
```

Summary:
Total magnetic moment ... 0.00 μB/cell
Energy of formation ... -1.1 eV/f.u.

NaLi2Au2: PBEsol geometry, SCAN.

Geometry as extended XYZ:
```
10
Lattice="7.875 0.000 0.000 0.000 7.875 0.000 0.000 0.000 2.769" Properties=species:S:1:pos:R:3 pbc="T T T"
Na 0.000 0.000 0.000
Na 3.938 3.938 0.000
Li 1.134 2.803 1.385
Li 2.803 6.741 1.385
Li 5.072 1.134 1.385
Li 6.741 5.072 1.385
Au 1.167 5.105 0.000
Au 2.770 1.167 0.000
Au 5.105 6.708 0.000
Au 6.708 2.770 0.000
```

Summary:
Total magnetic moment ... 0.00 μB/cell
E above lowest polymorph ... 0 meV per atom
Energy of formation ... -2.7 eV/f.u.

NaLiAu3: PBEsol geometry, SCAN.

Geometry as extended XYZ:
```
5
Lattice="4.545 0.000 0.000 0.000 4.545 0.000 0.000 0.000 4.545" Properties=species:S:1:pos:R:3 pbc="T T T"
Na 0.000 0.000 0.000
Li 2.273 2.273 2.273
Au 0.000 2.273 2.273
Au 2.273 0.000 2.273
Au 2.273 2.273 0.000
```

Summary:
Total magnetic moment ... 0.00 μB/cell
Energy of formation ... -0.3 eV/f.u.

NaLi2Au2: PBEsol geometry, SCAN.

Geometry as extended XYZ:
```
5
Lattice="-2.011 2.011 6.004 2.011 -2.011 6.004 2.011 2.011 -6.004" Properties=species:S:1:pos:R:3 pbc="T T T"
Na 0.000 0.000 0.000
Li 2.011 0.000 3.002
Li 0.000 2.011 3.002
Au 0.000 0.000 4.658
Au 0.000 0.000 7.349
```

Summary:
Total magnetic moment ... 0.00 μB/cell
E above lowest polymorph ... 50 meV per atom
Energy of formation ... -2.4 eV/f.u.

The raw total energy results, record by record, are as follows: -1.227, -2.204, -3.151, -2.201 Ry per atom.